# 1
Here is a geometry-optimized Li2TiIrSe structure from Alexandria via LeMat-Bulk. Energies are from PBE.

Cell: 4.5188 4.5188 4.6191 Å, 90.00 90.00 90.00°
With the nearest neighbours (Å) after each atom.
Space group P4/mmm (No. 123)
One atom of each set of equivalent atoms:
Li 0.0000 0.5000 0.0000 [2 per cell]  2 Ti 2.26
Ti 0.0000 0.0000 0.0000 [1 per cell]  4 Li 2.26, 2 Se 2.31
Ir 0.5000 0.5000 0.5000 [1 per cell]  4 Se 3.20, 8 Li 3.23
Se 0.0000 0.0000 0.5000 [1 per cell]  2 Ti 2.31

## Properties
Density of states at the Fermi level in states/eV per cell: 3.57
Formation energy from raw total energies in eV per atom: 0.99

=====

# 2
Here is a geometry-optimized Ce2Tl2Pb structure from Alexandria via LeMat-Bulk. Energies are from PBE.

Cell: 5.3253 5.3253 12.7112 Å, 90.00 90.00 120.00°
With the nearest neighbours (Å) after each atom.
Space group P6_3/mmc (No. 194)
One atom of each set of equivalent atoms:
Ce 0.3333 0.6667 0.1035 [4 per cell]  6 Tl 3.34-3.59, 3 Pb 3.59, 1 Ce 3.72
Tl 0.0000 0.0000 0.0000 [2 per cell]  2 Pb 3.18, 6 Ce 3.34
Tl 0.3333 0.6667 0.7500 [2 per cell]  3 Pb 3.07
Pb 0.0000 0.0000 0.2500 [2 per cell]  5 Tl 3.07-3.18

## Properties
Density of states at the Fermi level in states/eV per cell: 30.94
Energy of formation from the pure elements in eV per atom: -0.0757
Offset from the most stable computed form in eV/atom: 0.1392

=====

# 3
Here is a geometry-optimized TaBiRh2 structure from Alexandria via LeMat-Bulk. Energies are from PBE.

Cell: 5.8211 5.8211 12.0552 Å, 90.00 90.00 90.00°
With the nearest neighbours (Å) after each atom.
Space group I-42d (No. 122)
One atom of each set of equivalent atoms:
Ta 0.0000 0.0000 0.0000 [4 per cell]  4 Rh 2.45
Bi 0.0000 0.0000 0.5000 [4 per cell]  4 Rh 2.66
Rh 0.2195 0.2500 0.1250 [8 per cell]  2 Ta 2.45, 2 Bi 2.66

## Properties
Density of states at the Fermi level in states/eV per cell: 6.81
Energy of formation from the pure elements in eV per atom: 0.4041

=====

# 4
Here is a geometry-optimized CeLuGePd structure from Alexandria via LeMat-Bulk. Energies are from PBE.

Cell: 7.1152 7.1152 7.1152 Å, 90.00 90.00 90.00°
With the nearest neighbours (Å) after each atom.
Space group F-43m (No. 216)
One atom of each set of equivalent atoms:
Ce 0.0000 0.0000 0.0000 [4 per cell]  4 Ge 3.08, 4 Pd 3.08
Lu 0.0000 0.0000 0.5000 [4 per cell]  4 Ge 3.08, 4 Pd 3.08
Ge 0.2500 0.2500 0.2500 [4 per cell]  4 Lu 3.08, 4 Ce 3.08
Pd 0.2500 0.2500 0.7500 [4 per cell]  4 Ce 3.08, 4 Lu 3.08

## Properties
Density of states at the Fermi level in states/eV per cell: 31.17
Energy of formation from the pure elements in eV per atom: -0.6932

=====

# 5
Here is a geometry-optimized CdAg2PdAu5 structure from Alexandria via LeMat-Bulk. Energies are from PBE.

Cell: 2.9003 16.7259 13.5253 Å, 90.00 90.00 90.00°
With the nearest neighbours (Å) after each atom.
Space group Cmc2_1 (No. 36)
One atom of each set of equivalent atoms:
Cd 0.0000 0.1210 0.0000 [4 per cell]  6 Au 2.73-2.92, 2 Cd 2.90, 2 Pd 2.91
Ag 0.0000 0.3665 0.1661 [4 per cell]  8 Au 2.81-3.04, 2 Ag 2.90, 2 Pd 3.04
Ag 0.0000 0.3760 0.8537 [4 per cell]  8 Au 2.79-3.04, 2 Ag 2.90, 2 Pd 3.07
Pd 0.0000 0.2280 0.5071 [4 per cell]  2 Pd 2.90, 2 Cd 2.91, 5 Au 2.93-3.03, 4 Ag 3.04-3.07
Au 0.0000 0.0338 0.8209 [4 per cell]  1 Cd 2.83, 6 Au 2.90-2.96, 4 Ag 3.04
Au 0.0000 0.0529 0.5114 [4 per cell]  4 Ag 2.84-2.88, 5 Au 2.90-2.96, 1 Cd 2.91, 1 Pd 2.93
Au 0.0000 0.1990 0.1818 [4 per cell]  1 Cd 2.78, 3 Ag 2.81-3.01, 6 Au 2.90-3.00, 2 Pd 3.03
Au 0.0000 0.2101 0.8305 [4 per cell]  1 Cd 2.73, 3 Ag 2.79-2.95, 5 Au 2.90-2.95, 2 Pd 2.98
Au 0.0000 0.4571 0.6611 [4 per cell]  8 Au 2.90-3.00, 2 Cd 2.92, 2 Ag 2.94-2.95

## Properties
Density of states at the Fermi level in states/eV per cell: 10.66
Energy of formation from the pure elements in eV per atom: -0.0559

=====

# 6
Here is a geometry-optimized Pr2Ga2Si structure from Alexandria via LeMat-Bulk. Energies are from PBE.

Cell: 4.2277 4.0220 14.0216 Å, 90.00 90.00 90.00°
With the nearest neighbours (Å) after each atom.
Space group Amm2 (No. 38)
One atom of each set of equivalent atoms:
Pr 0.0000 0.0000 0.0000 [2 per cell]  8 Ga 3.09-3.42, 2 Si 3.24
Pr 0.0000 0.0000 0.2530 [2 per cell]  4 Si 3.09, 6 Ga 3.22-3.41
Ga 0.5000 0.0000 0.4265 [2 per cell]  2 Si 2.46
Ga 0.5000 0.0000 0.6270 [2 per cell]  1 Si 2.78, 1 Ga 2.81
Si 0.5000 0.0000 0.8250 [2 per cell]  2 Ga 2.46

## Properties
Density of states at the Fermi level in states/eV per cell: 5.05
Formation energy from raw total energies in eV per atom: -0.62
Offset from the most stable computed form in eV/atom: 0.0474

=====

Question: What is the density of states at the Fermi level in the second record?
Answer: 30.94 states/eV per cell

=====

Repeat the fifth record exactly.
Here is a geometry-optimized CdAg2PdAu5 structure from Alexandria via LeMat-Bulk. Energies are from PBE.

Cell: 2.9003 16.7259 13.5253 Å, 90.00 90.00 90.00°
With the nearest neighbours (Å) after each atom.
Space group Cmc2_1 (No. 36)
One atom of each set of equivalent atoms:
Cd 0.0000 0.1210 0.0000 [4 per cell]  6 Au 2.73-2.92, 2 Cd 2.90, 2 Pd 2.91
Ag 0.0000 0.3665 0.1661 [4 per cell]  8 Au 2.81-3.04, 2 Ag 2.90, 2 Pd 3.04
Ag 0.0000 0.3760 0.8537 [4 per cell]  8 Au 2.79-3.04, 2 Ag 2.90, 2 Pd 3.07
Pd 0.0000 0.2280 0.5071 [4 per cell]  2 Pd 2.90, 2 Cd 2.91, 5 Au 2.93-3.03, 4 Ag 3.04-3.07
Au 0.0000 0.0338 0.8209 [4 per cell]  1 Cd 2.83, 6 Au 2.90-2.96, 4 Ag 3.04
Au 0.0000 0.0529 0.5114 [4 per cell]  4 Ag 2.84-2.88, 5 Au 2.90-2.96, 1 Cd 2.91, 1 Pd 2.93
Au 0.0000 0.1990 0.1818 [4 per cell]  1 Cd 2.78, 3 Ag 2.81-3.01, 6 Au 2.90-3.00, 2 Pd 3.03
Au 0.0000 0.2101 0.8305 [4 per cell]  1 Cd 2.73, 3 Ag 2.79-2.95, 5 Au 2.90-2.95, 2 Pd 2.98
Au 0.0000 0.4571 0.6611 [4 per cell]  8 Au 2.90-3.00, 2 Cd 2.92, 2 Ag 2.94-2.95

## Properties
Density of states at the Fermi level in states/eV per cell: 10.66
Energy of formation from the pure elements in eV per atom: -0.0559